Compound: P2Rh3
Source: the Alexandria database
Functional: GGA-PBE
Structure: optimized geometry

Properties
formation energy from the elements = -448 meV per atom
DFT total energy = -7.02 eV/atom
polymorph energy (0 for the lowest one) = 226.3 meV/atom

Lattice parameters (Å, degrees): 10.699 11.656 4.534 90.00 90.00 90.00
Space group Fdd2 (No. 43)
Asymmetric unit:
1 P 0.040 0.328 0.000
2 Rh 0.000 0.000 0.744
3 Rh 0.120 0.310 0.499